Computed, not measured: a geometry-optimized K2PbO2 structure at the GGA-PBEsol level of DFT.

abc: 7.310 7.478 9.929
angles: 84.44 69.69 61.22
Sites, in units of the cell vectors:
1 K 0.067 0.451 0.168
2 K 0.079 0.927 0.172
3 K 0.235 0.274 0.495
4 K 0.397 0.569 0.861
5 K 0.603 0.431 0.139
6 K 0.765 0.726 0.505
7 K 0.921 0.073 0.828
8 K 0.933 0.549 0.832
9 Pb 0.297 0.718 0.474
10 Pb 0.400 0.062 0.866
11 Pb 0.600 0.938 0.134
12 Pb 0.703 0.282 0.526
13 O 0.056 0.219 0.985
14 O 0.189 0.600 0.349
15 O 0.335 0.480 0.632
16 O 0.499 0.796 0.006
17 O 0.501 0.204 0.994
18 O 0.665 0.520 0.368
19 O 0.811 0.400 0.651
20 O 0.944 0.781 0.015

**Raw formation energy**: -1264 meV/atom
**Magnetization**: 0.000 μB per atom
**Final energy**: -92.34 eV/cell